# CsCoRuO4, relaxed, DFT PBE+U
data_CsCoRuO4
_chemical_formula_sum 'Cs2 Co2 Ru2 O8'
_cell_length_a 5.684
_cell_length_b 5.414
_cell_length_c 9.137
_cell_angle_alpha 90.00
_cell_angle_beta 124.57
_cell_angle_gamma 90.00
_symmetry_space_group_name_H-M 'P 1'
_symmetry_Int_Tables_number 1
loop_
_symmetry_equiv_pos_as_xyz
'x,y,z'
loop_
_atom_site_label
_atom_site_fract_x
_atom_site_fract_y
_atom_site_fract_z
Cs1 0.647 0.750 0.906
Cs2 0.353 0.250 0.094
Co1 0.223 0.750 0.365
Co2 0.777 0.250 0.635
Ru1 0.815 0.750 0.467
Ru2 0.185 0.250 0.533
O1 0.066 0.489 0.650
O2 0.934 0.989 0.350
O3 0.934 0.511 0.350
O4 0.066 0.011 0.650
O5 0.424 0.750 0.250
O6 0.576 0.250 0.750
O7 0.613 0.750 0.577
O8 0.387 0.250 0.423
# Crystal system = monoclinic
# Spin magnetization = 5.60 μB per cell
# Volume = 231.5 Å³/cell
# Energy = -83.72 eV/cell